Compound: Ge3HS
Source: the Alexandria database
Functional: GGA-PBE
Structure: relaxed

Output
E above lowest polymorph = 0.000 eV/atom
DOS at the Fermi energy = 1.50 states/eV/cell
E_tot = -3.7248 eV/atom

Cell: 4.3432 4.3432 4.3432 Å, 90.00 90.00 90.00°
Closest atoms and distances in Å follow each position.
Atoms (fractional coordinates):
Ge (0.0000, 0.0000, 0.5000)  2 H 2.17
Ge (0.0000, 0.5000, 0.0000)  2 H 2.17
Ge (0.5000, 0.0000, 0.0000)  2 H 2.17
H (0.0000, 0.0000, 0.0000)  6 Ge 2.17
S (0.5000, 0.5000, 0.5000)  12 Ge 3.07